PBE CsNbFeTePd, relaxed; SG = R3m (160); formation energy without anion corrections = 0.161 eV/atom; excess energy over the best structure of this formula in the dataset = 221.6 meV/atom
1.0
4.430 0.000 0.000
-2.215 3.836 0.000
0.000 0.000 25.038
Cs Nb Fe Te Pd
3 3 3 3 3
Cartesian
0.000 0.000 0.000 Cs
0.000 2.558 16.692 Cs
2.215 1.279 8.346 Cs
0.000 0.000 20.143 Nb
0.000 2.558 11.798 Nb
2.215 1.279 3.452 Nb
0.000 0.000 11.024 Fe
0.000 2.558 2.678 Fe
2.215 1.279 19.370 Fe
0.000 0.000 13.722 Te
0.000 2.558 5.376 Te
2.215 1.279 22.068 Te
0.000 0.000 4.227 Pd
0.000 2.558 20.918 Pd
2.215 1.279 12.573 Pd